Sc2Cd3Ag after structural relaxation. Source: the Alexandria database, functional PBE.

Calculated values
* formation energy from the elements: -224 meV per atom
* total energy: -3.268 eV/atom
* crystal system: orthorhombic

abc: 3.165 4.827 8.385
angles: 90.00 90.00 90.00
Atoms (fractional coordinates):
Cd1 0.500 0.000 0.168
Sc1 0.000 0.000 0.491
Ag1 0.500 0.500 0.333
Cd2 0.500 0.500 0.664
Cd3 0.500 0.000 0.833
Sc2 0.000 0.500 0.011